Tl2AgPd: optimized geometry, PBE.

Unit cell a=5.098 b=5.098 c=3.283 alpha=90.00 beta=90.00 gamma=90.00
Fractional coordinates of all 4 atoms:
Tl  0.000  0.500  0.000
Tl  0.500  0.000  0.000
Ag  0.000  0.000  0.500
Pd  0.500  0.500  0.500

Summary:
* crystal system: tetragonal
* N(E_F): 2.940 states/eV per cell
* DFT total energy: -3.126 eV per atom
* excess energy over the best structure of this formula in the dataset: 22.0 meV/atom